# AcLaBi4O8 (PBE, relaxed)
data_AcLaBi4O8
_symmetry_space_group_name_H-M 'P 1'
_symmetry_Int_Tables_number 1
_symmetry_space_group_name_Hall 'P 1'
_cell_length_a 7.212
_cell_length_b 7.212
_cell_length_c 7.474
_cell_angle_alpha 61.15
_cell_angle_beta 61.15
_cell_angle_gamma 60.00
loop_
_atom_site_label
_atom_site_type_symbol
_atom_site_fract_x
_atom_site_fract_y
_atom_site_fract_z
_atom_site_occupancy
Bi1 Bi 0.585 0.585 0.245 1
Bi2 Bi 0.001 0.001 0.492 1
Bi3 Bi 0.001 0.506 0.492 1
Bi4 Bi 0.506 0.001 0.492 1
O1 O 0.196 0.769 0.266 1
O2 O 0.769 0.196 0.266 1
O3 O 0.234 0.234 0.742 1
O4 O 0.790 0.234 0.742 1
O5 O 0.234 0.790 0.742 1
O6 O 0.249 0.249 0.252 1
O7 O 0.769 0.769 0.266 1
O8 O 0.781 0.781 0.658 1
La1 La 0.003 0.003 0.990 1
Ac1 Ac 0.381 0.381 0.857 1
# formation energy (no corrections): -1.751 eV per atom

# AcLaBiP (PBE, relaxed)
data_AcLaBiP
_symmetry_space_group_name_H-M 'P 1'
_symmetry_Int_Tables_number 1
_symmetry_space_group_name_Hall 'P 1'
_cell_length_a 4.540
_cell_length_b 4.540
_cell_length_c 8.009
_cell_angle_alpha 73.54
_cell_angle_beta 73.54
_cell_angle_gamma 60.00
loop_
_atom_site_label
_atom_site_type_symbol
_atom_site_fract_x
_atom_site_fract_y
_atom_site_fract_z
_atom_site_occupancy
Bi1 Bi 0.754 0.754 0.740 1
La1 La 0.508 0.508 0.475 1
P1 P 0.247 0.247 0.259 1
Ac1 Ac 0.991 0.991 0.027 1
# calculated total energy: -5.815 eV/atom

# AcLa2PmBi4 (PBE, relaxed)
data_AcLa2PmBi4
_symmetry_space_group_name_H-M 'P 1'
_symmetry_Int_Tables_number 1
_symmetry_space_group_name_Hall 'P 1'
_cell_length_a 4.726
_cell_length_b 8.171
_cell_length_c 8.179
_cell_angle_alpha 70.55
_cell_angle_beta 90.00
_cell_angle_gamma 90.00
loop_
_atom_site_label
_atom_site_type_symbol
_atom_site_fract_x
_atom_site_fract_y
_atom_site_fract_z
_atom_site_occupancy
Pm1 Pm 0.500 0.500 0.000 1
La1 La 0.000 0.000 0.000 1
La2 La 0.500 0.000 0.500 1
Ac1 Ac 0.000 0.500 0.500 1
Bi1 Bi 0.000 0.749 0.757 1
Bi2 Bi 0.500 0.755 0.241 1
Bi3 Bi 0.000 0.251 0.243 1
Bi4 Bi 0.500 0.245 0.759 1
# calculated total energy: -5.282 eV/atom

# Ac2LaPmBi4 (PBE, relaxed)
data_Ac2LaPmBi4
_symmetry_space_group_name_H-M 'P 1'
_symmetry_Int_Tables_number 1
_symmetry_space_group_name_Hall 'P 1'
_cell_length_a 4.765
_cell_length_b 8.253
_cell_length_c 8.246
_cell_angle_alpha 70.56
_cell_angle_beta 90.00
_cell_angle_gamma 90.00
loop_
_atom_site_label
_atom_site_type_symbol
_atom_site_fract_x
_atom_site_fract_y
_atom_site_fract_z
_atom_site_occupancy
Bi1 Bi 0.000 0.263 0.249 1
Bi2 Bi 0.500 0.264 0.743 1
Bi3 Bi 0.500 0.736 0.257 1
Bi4 Bi 0.000 0.737 0.751 1
Ac1 Ac 0.500 0.000 0.500 1
Ac2 Ac 0.000 0.000 0.000 1
La1 La 0.500 0.500 0.000 1
Pm1 Pm 0.000 0.500 0.500 1
# calculated total energy: -5.170 eV/atom

# AcLaPmBi (PBE, relaxed)
data_AcLaPmBi
_symmetry_space_group_name_H-M 'P 1'
_symmetry_Int_Tables_number 1
_symmetry_space_group_name_Hall 'P 1'
_cell_length_a 5.782
_cell_length_b 5.782
_cell_length_c 5.782
_cell_angle_alpha 60.00
_cell_angle_beta 60.00
_cell_angle_gamma 60.00
loop_
_atom_site_label
_atom_site_type_symbol
_atom_site_fract_x
_atom_site_fract_y
_atom_site_fract_z
_atom_site_occupancy
Ac1 Ac 0.750 0.750 0.750 1
La1 La 0.500 0.500 0.500 1
Bi1 Bi 0.250 0.250 0.250 1
Pm1 Pm 0.000 0.000 0.000 1
# calculated total energy: -4.656 eV/atom

# Ac2LaPrBi5 (PBE, relaxed)
data_Ac2LaPrBi5
_symmetry_space_group_name_H-M 'P 1'
_symmetry_Int_Tables_number 1
_symmetry_space_group_name_Hall 'P 1'
_cell_length_a 5.641
_cell_length_b 5.641
_cell_length_c 12.407
_cell_angle_alpha 90.00
_cell_angle_beta 90.00
_cell_angle_gamma 90.00
loop_
_atom_site_label
_atom_site_type_symbol
_atom_site_fract_x
_atom_site_fract_y
_atom_site_fract_z
_atom_site_occupancy
Pr1 Pr 0.000 0.000 0.500 1
Bi1 Bi 0.000 0.500 0.500 1
Bi2 Bi 0.500 0.000 0.500 1
Bi3 Bi 0.500 0.500 0.000 1
Bi4 Bi 0.000 0.000 0.247 1
Bi5 Bi 0.000 0.000 0.753 1
La1 La 0.000 0.000 0.000 1
Ac1 Ac 0.500 0.500 0.721 1
Ac2 Ac 0.500 0.500 0.279 1
# calculated total energy: -4.422 eV/atom

# AcLa2PrBi4 (PBE, relaxed)
data_AcLa2PrBi4
_symmetry_space_group_name_H-M 'P 1'
_symmetry_Int_Tables_number 1
_symmetry_space_group_name_Hall 'P 1'
_cell_length_a 4.738
_cell_length_b 8.197
_cell_length_c 8.202
_cell_angle_alpha 70.56
_cell_angle_beta 90.00
_cell_angle_gamma 90.00
loop_
_atom_site_label
_atom_site_type_symbol
_atom_site_fract_x
_atom_site_fract_y
_atom_site_fract_z
_atom_site_occupancy
Bi1 Bi 0.000 0.248 0.245 1
Bi2 Bi 0.500 0.756 0.242 1
Bi3 Bi 0.500 0.244 0.758 1
Bi4 Bi 0.000 0.752 0.755 1
Ac1 Ac 0.000 0.500 0.500 1
Pr1 Pr 0.500 0.500 0.000 1
La1 La 0.500 0.000 0.500 1
La2 La 0.000 0.000 0.000 1
# calculated total energy: -5.295 eV/atom

# Ac2LaPrBi4 (PBE, relaxed)
data_Ac2LaPrBi4
_symmetry_space_group_name_H-M 'P 1'
_symmetry_Int_Tables_number 1
_symmetry_space_group_name_Hall 'P 1'
_cell_length_a 4.779
_cell_length_b 8.277
_cell_length_c 8.271
_cell_angle_alpha 70.56
_cell_angle_beta 90.00
_cell_angle_gamma 90.00
loop_
_atom_site_label
_atom_site_type_symbol
_atom_site_fract_x
_atom_site_fract_y
_atom_site_fract_z
_atom_site_occupancy
Ac1 Ac 0.000 0.000 0.000 1
Ac2 Ac 0.500 0.000 0.500 1
Bi1 Bi 0.500 0.738 0.255 1
Bi2 Bi 0.000 0.739 0.753 1
Bi3 Bi 0.500 0.262 0.745 1
Bi4 Bi 0.000 0.261 0.247 1
La1 La 0.500 0.500 0.000 1
Pr1 Pr 0.000 0.500 0.500 1
# calculated total energy: -5.182 eV/atom

# AcLaBiPt (PBE, relaxed)
data_AcLaBiPt
_symmetry_space_group_name_H-M 'P 1'
_symmetry_Int_Tables_number 1
_symmetry_space_group_name_Hall 'P 1'
_cell_length_a 5.556
_cell_length_b 5.556
_cell_length_c 5.556
_cell_angle_alpha 60.00
_cell_angle_beta 60.00
_cell_angle_gamma 60.00
loop_
_atom_site_label
_atom_site_type_symbol
_atom_site_fract_x
_atom_site_fract_y
_atom_site_fract_z
_atom_site_occupancy
La1 La 0.500 0.500 0.500 1
Pt1 Pt 0.750 0.750 0.750 1
Ac1 Ac 0.000 0.000 0.000 1
Bi1 Bi 0.250 0.250 0.250 1
# calculated total energy: -5.524 eV/atom

# AcLa2PuBi4 (PBE, relaxed)
data_AcLa2PuBi4
_symmetry_space_group_name_H-M 'P 1'
_symmetry_Int_Tables_number 1
_symmetry_space_group_name_Hall 'P 1'
_cell_length_a 4.720
_cell_length_b 8.175
_cell_length_c 8.166
_cell_angle_alpha 70.54
_cell_angle_beta 90.00
_cell_angle_gamma 90.00
loop_
_atom_site_label
_atom_site_type_symbol
_atom_site_fract_x
_atom_site_fract_y
_atom_site_fract_z
_atom_site_occupancy
La1 La 0.500 0.000 0.500 1
La2 La 0.000 0.000 0.000 1
Pu1 Pu 0.500 0.500 0.000 1
Bi1 Bi 0.000 0.747 0.760 1
Bi2 Bi 0.500 0.246 0.760 1
Bi3 Bi 0.000 0.253 0.240 1
Bi4 Bi 0.500 0.754 0.240 1
Ac1 Ac 0.000 0.500 0.500 1
# calculated total energy: -6.311 eV/atom

# Ac2LaPuBi4 (PBE, relaxed)
data_Ac2LaPuBi4
_symmetry_space_group_name_H-M 'P 1'
_symmetry_Int_Tables_number 1
_symmetry_space_group_name_Hall 'P 1'
_cell_length_a 4.763
_cell_length_b 8.232
_cell_length_c 8.241
_cell_angle_alpha 70.52
_cell_angle_beta 90.00
_cell_angle_gamma 90.00
loop_
_atom_site_label
_atom_site_type_symbol
_atom_site_fract_x
_atom_site_fract_y
_atom_site_fract_z
_atom_site_occupancy
Ac1 Ac 0.500 0.000 0.500 1
Ac2 Ac 0.000 0.000 0.000 1
Bi1 Bi 0.500 0.736 0.250 1
Bi2 Bi 0.000 0.267 0.240 1
Bi3 Bi 0.000 0.733 0.760 1
Bi4 Bi 0.500 0.264 0.750 1
Pu1 Pu 0.500 0.500 0.000 1
La1 La 0.000 0.500 0.500 1
# calculated total energy: -6.201 eV/atom

# AcLaBiS2 (PBE, relaxed)
data_AcLaBiS2
_symmetry_space_group_name_H-M 'P 1'
_symmetry_Int_Tables_number 1
_symmetry_space_group_name_Hall 'P 1'
_cell_length_a 4.725
_cell_length_b 4.725
_cell_length_c 8.199
_cell_angle_alpha 106.75
_cell_angle_beta 106.75
_cell_angle_gamma 90.00
loop_
_atom_site_label
_atom_site_type_symbol
_atom_site_fract_x
_atom_site_fract_y
_atom_site_fract_z
_atom_site_occupancy
Ac1 Ac 0.857 0.857 0.713 1
La1 La 0.148 0.148 0.296 1
S1 S 0.247 0.747 0.493 1
S2 S 0.747 0.247 0.493 1
Bi1 Bi 0.502 0.502 0.004 1
# formation energy (no corrections): -1.462 eV per atom

Number 1: total magnetic moment 0.0 μB/cell. Number 2: total magnetic moment 0.0 μB/cell. Number 3: total magnetic moment 0.0 μB/cell. Number 4: total magnetic moment 0.0 μB/cell. Number 5: total magnetic moment 0.0 μB/cell. Number 6: total magnetic moment 0.0 μB/cell. Number 7: total magnetic moment 0.0 μB/cell. Number 8: total magnetic moment 0.0 μB/cell. Number 9: total magnetic moment 0.4 μB/cell. Number 10: total magnetic moment 5.1 μB/cell. Number 11: total magnetic moment 5.0 μB/cell. Number 12: total magnetic moment 0.0 μB/cell.